# Mn2CoBr

Mn2CoBr after structural relaxation (PBE-GGA, Alexandria via LeMat-Bulk).

Results
- SG = No. 99
- DOS(E_F) (states/eV/cell) = 2.31
- energy relative to the elements, uncorrected (meV per atom) = 421

a b c (Å): 3.329 3.329 6.574
angles (deg): 90.00 90.00 90.00
Sites, in units of the cell vectors:
Mn (0.000, 0.000, 0.000)
Mn (0.500, 0.500, 0.249)
Co (0.500, 0.500, 0.887)
Br (0.000, 0.000, 0.465)

# BP2PdCl

BP2PdCl after structural relaxation (PBE-GGA, Alexandria via LeMat-Bulk).

Results
- SG = No. 123
- DOS(E_F) (states/eV/cell) = 3.72
- energy relative to the elements, uncorrected (meV per atom) = 1402

a b c (Å): 4.573 4.573 5.307
angles (deg): 90.00 90.00 90.00
Sites, in units of the cell vectors:
B (0.000, 0.000, 0.000)
P (0.000, 0.500, 0.500)
P (0.500, 0.000, 0.500)
Pd (0.500, 0.500, 0.500)
Cl (0.500, 0.500, 0.000)

# KTiCd2

KTiCd2 after structural relaxation (PBE-GGA, Alexandria via LeMat-Bulk).

Results
- ΔE_f (eV per atom) = 0.60
- SG = No. 122
- DOS(E_F) (states/eV/cell) = 10.97

a b c (Å): 6.876 6.876 6.876
angles (deg): 104.37 104.37 120.24
Sites, in units of the cell vectors:
K (0.000, 0.000, 0.000)
K (0.750, 0.250, 0.500)
Ti (0.250, 0.750, 0.500)
Ti (0.500, 0.500, 0.000)
Cd (0.175, 0.625, 0.050)
Cd (0.375, 0.425, 0.550)
Cd (0.575, 0.125, 0.950)
Cd (0.875, 0.825, 0.450)

# Sc2HPt

Sc2HPt after structural relaxation (PBE-GGA, Alexandria via LeMat-Bulk).

Results
- SG = No. 13
- DOS(E_F) (states/eV/cell) = 11.16

a b c (Å): 5.462 5.313 10.215
angles (deg): 90.00 119.24 90.00
Sites, in units of the cell vectors:
Sc (0.011, 0.241, 0.090)
Sc (0.011, 0.759, 0.590)
Sc (0.328, 0.340, 0.843)
Sc (0.328, 0.660, 0.343)
Sc (0.672, 0.340, 0.657)
Sc (0.672, 0.660, 0.157)
Sc (0.989, 0.241, 0.410)
Sc (0.989, 0.759, 0.910)
H (0.022, 0.377, 0.620)
H (0.022, 0.623, 0.120)
H (0.978, 0.377, 0.880)
H (0.978, 0.623, 0.380)
Pt (0.462, 0.154, 0.376)
Pt (0.462, 0.846, 0.876)
Pt (0.538, 0.154, 0.124)
Pt (0.538, 0.846, 0.624)

# Pr8Bi4Te3

Pr8Bi4Te3 after structural relaxation (PBE-GGA, Alexandria via LeMat-Bulk).

Results
- SG = No. 12
- DOS(E_F) (states/eV/cell) = 7.37
- energy relative to the elements, uncorrected (meV per atom) = -1051

a b c (Å): 9.117 9.117 9.092
angles (deg): 119.86 119.86 90.07
Sites, in units of the cell vectors:
Pr (0.247, 0.247, 0.001)
Pr (0.249, 0.751, 0.000)
Pr (0.249, 0.751, 0.500)
Pr (0.251, 0.251, 0.501)
Pr (0.749, 0.749, 0.499)
Pr (0.751, 0.249, 0.000)
Pr (0.751, 0.249, 0.500)
Pr (0.753, 0.753, 0.999)
Bi (0.000, 0.000, 0.500)
Bi (0.000, 0.500, 0.000)
Bi (0.500, 0.000, 0.000)
Bi (0.500, 0.500, 0.000)
Te (0.000, 0.500, 0.500)
Te (0.500, 0.000, 0.500)
Te (0.500, 0.500, 0.500)

# MnHRh2W

MnHRh2W after structural relaxation (PBE-GGA, Alexandria via LeMat-Bulk).

Results
- SG = No. 123
- DOS(E_F) (states/eV/cell) = 2.72

a b c (Å): 3.810 3.810 3.921
angles (deg): 90.00 90.00 90.00
Sites, in units of the cell vectors:
Mn (0.000, 0.000, 0.000)
H (0.000, 0.000, 0.500)
Rh (0.000, 0.500, 0.500)
Rh (0.500, 0.000, 0.500)
W (0.500, 0.500, 0.000)

# Co2HgBr

Co2HgBr after structural relaxation (PBE-GGA, Alexandria via LeMat-Bulk).

Results
- SG = No. 12
- DOS(E_F) (states/eV/cell) = 9.04
- energy relative to the elements, uncorrected (meV per atom) = 821

a b c (Å): 5.265 5.265 3.177
angles (deg): 107.20 107.20 106.27
Sites, in units of the cell vectors:
Co (0.000, 0.500, 0.000)
Co (0.500, 0.000, 0.000)
Hg (0.000, 0.000, 0.000)
Br (0.500, 0.500, 0.000)

# LiBe4Co

LiBe4Co after structural relaxation (PBE-GGA, Alexandria via LeMat-Bulk).

Results
- ΔE_f (eV per atom) = -0.06
- SG = No. 216
- DOS(E_F) (states/eV/cell) = 3.69

a b c (Å): 4.220 4.220 4.220
angles (deg): 60.00 60.00 60.00
Sites, in units of the cell vectors:
Li (0.000, 0.000, 0.000)
Be (0.128, 0.624, 0.624)
Be (0.624, 0.128, 0.624)
Be (0.624, 0.624, 0.128)
Be (0.624, 0.624, 0.624)
Co (0.250, 0.250, 0.250)

# SnI

SnI after structural relaxation (PBE-GGA, Alexandria via LeMat-Bulk).

Results
- SG = No. 5
- DOS(E_F) (states/eV/cell) = 0.68
- energy relative to the elements, uncorrected (meV per atom) = -238

a b c (Å): 4.885 4.885 9.536
angles (deg): 91.43 91.43 60.02
Sites, in units of the cell vectors:
Sn (0.169, 0.169, 0.040)
Sn (0.831, 0.831, 0.960)
I (0.184, 0.174, 0.327)
I (0.826, 0.816, 0.673)

# LaBeCo2

LaBeCo2 after structural relaxation (PBE-GGA, Alexandria via LeMat-Bulk).

Results
- ΔE_f (eV per atom) = 0.11
- SG = No. 6
- DOS(E_F) (states/eV/cell) = 3.54

a b c (Å): 3.920 3.881 4.402
angles (deg): 90.00 99.43 90.00
Sites, in units of the cell vectors:
La (0.000, 0.000, 0.000)
Be (0.423, 0.500, 0.655)
Co (0.495, 0.000, 0.481)
Co (0.895, 0.500, 0.480)

# TaCo2Ge2

TaCo2Ge2 after structural relaxation (PBE-GGA, Alexandria via LeMat-Bulk).

Results
- ΔE_f (eV per atom) = -0.13
- SG = No. 127
- DOS(E_F) (states/eV/cell) = 5.89

a b c (Å): 7.038 7.038 2.722
angles (deg): 90.00 90.00 90.00
Sites, in units of the cell vectors:
Ta (0.000, 0.000, 0.000)
Ta (0.500, 0.500, 0.000)
Co (0.150, 0.350, 0.500)
Co (0.350, 0.850, 0.500)
Co (0.650, 0.150, 0.500)
Co (0.850, 0.650, 0.500)
Ge (0.146, 0.646, 0.000)
Ge (0.354, 0.146, 0.000)
Ge (0.646, 0.854, 0.000)
Ge (0.854, 0.354, 0.000)

# LaCoCl2

LaCoCl2 after structural relaxation (PBE-GGA, Alexandria via LeMat-Bulk).

Results
- SG = No. 99
- DOS(E_F) (states/eV/cell) = 3.00
- energy relative to the elements, uncorrected (meV per atom) = -843

a b c (Å): 3.507 3.507 7.970
angles (deg): 90.00 90.00 90.00
Sites, in units of the cell vectors:
La (0.000, 0.000, 0.000)
Co (0.500, 0.500, 0.749)
Cl (0.000, 0.000, 0.644)
Cl (0.500, 0.500, 0.224)

# Rh2AuCl

Rh2AuCl after structural relaxation (PBE-GGA, Alexandria via LeMat-Bulk).

Results
- SG = No. 12
- DOS(E_F) (states/eV/cell) = 5.64
- energy relative to the elements, uncorrected (meV per atom) = 461

a b c (Å): 4.117 4.117 5.824
angles (deg): 99.81 99.81 42.51
Sites, in units of the cell vectors:
Rh (0.249, 0.249, 0.216)
Rh (0.751, 0.751, 0.784)
Au (0.000, 0.000, 0.500)
Cl (0.500, 0.500, 0.000)

# Nd12Al3Au5

Nd12Al3Au5 after structural relaxation (PBE-GGA, Alexandria via LeMat-Bulk).

Results
- ΔE_f (eV per atom) = -0.13
- SG = No. 230
- DOS(E_F) (states/eV/cell) = 98.41

a b c (Å): 15.388 15.388 15.388
angles (deg): 109.47 109.47 109.47
Sites, in units of the cell vectors:
Nd (0.053, 0.221, 0.132)
Nd (0.053, 0.331, 0.920)
Nd (0.080, 0.632, 0.411)
Nd (0.080, 0.947, 0.669)
Nd (0.089, 0.721, 0.669)
Nd (0.089, 0.868, 0.420)
Nd (0.132, 0.053, 0.221)
Nd (0.132, 0.580, 0.911)
Nd (0.169, 0.221, 0.589)
Nd (0.169, 0.447, 0.580)
Nd (0.221, 0.132, 0.053)
Nd (0.221, 0.589, 0.169)
Nd (0.279, 0.331, 0.911)
Nd (0.279, 0.447, 0.368)
Nd (0.331, 0.911, 0.279)
Nd (0.331, 0.920, 0.053)
Nd (0.368, 0.279, 0.447)
Nd (0.368, 0.589, 0.920)
Nd (0.411, 0.080, 0.632)
Nd (0.411, 0.831, 0.779)
Nd (0.420, 0.089, 0.868)
Nd (0.420, 0.831, 0.553)
Nd (0.447, 0.368, 0.279)
Nd (0.447, 0.580, 0.169)
Nd (0.553, 0.420, 0.831)
Nd (0.553, 0.632, 0.721)
Nd (0.580, 0.169, 0.447)
Nd (0.580, 0.911, 0.132)
Nd (0.589, 0.169, 0.221)
Nd (0.589, 0.920, 0.368)
Nd (0.632, 0.411, 0.080)
Nd (0.632, 0.721, 0.553)
Nd (0.669, 0.080, 0.947)
Nd (0.669, 0.089, 0.721)
Nd (0.721, 0.553, 0.632)
Nd (0.721, 0.669, 0.089)
Nd (0.779, 0.411, 0.831)
Nd (0.779, 0.868, 0.947)
Nd (0.831, 0.553, 0.420)
Nd (0.831, 0.779, 0.411)
Nd (0.868, 0.420, 0.089)
Nd (0.868, 0.947, 0.779)
Nd (0.911, 0.132, 0.580)
Nd (0.911, 0.279, 0.331)
Nd (0.920, 0.053, 0.331)
Nd (0.920, 0.368, 0.589)
Nd (0.947, 0.669, 0.080)
Nd (0.947, 0.779, 0.868)
Al (0.125, 0.250, 0.375)
Al (0.125, 0.375, 0.750)
Al (0.250, 0.375, 0.125)
Al (0.250, 0.875, 0.625)
Al (0.375, 0.125, 0.250)
Al (0.375, 0.750, 0.125)
Al (0.625, 0.250, 0.875)
Al (0.625, 0.875, 0.750)
Al (0.750, 0.125, 0.375)
Al (0.750, 0.625, 0.875)
Al (0.875, 0.625, 0.250)
Al (0.875, 0.750, 0.625)
Au (0.000, 0.000, 0.000)
Au (0.000, 0.000, 0.500)
Au (0.000, 0.500, 0.000)
Au (0.000, 0.500, 0.500)
Au (0.125, 0.750, 0.875)
Au (0.125, 0.875, 0.250)
Au (0.250, 0.125, 0.875)
Au (0.250, 0.625, 0.375)
Au (0.375, 0.250, 0.625)
Au (0.375, 0.625, 0.750)
Au (0.500, 0.000, 0.000)
Au (0.500, 0.000, 0.500)
Au (0.500, 0.500, 0.000)
Au (0.500, 0.500, 0.500)
Au (0.625, 0.375, 0.250)
Au (0.625, 0.750, 0.375)
Au (0.750, 0.375, 0.625)
Au (0.750, 0.875, 0.125)
Au (0.875, 0.125, 0.750)
Au (0.875, 0.250, 0.125)

# AgHgPtN2

AgHgPtN2 after structural relaxation (PBE-GGA, Alexandria via LeMat-Bulk).

Results
- SG = No. 123
- DOS(E_F) (states/eV/cell) = 2.39
- energy relative to the elements, uncorrected (meV per atom) = 1968

a b c (Å): 3.996 3.996 6.189
angles (deg): 90.00 90.00 90.00
Sites, in units of the cell vectors:
Ag (0.000, 0.000, 0.000)
Hg (0.000, 0.000, 0.500)
Pt (0.500, 0.500, 0.500)
N (0.000, 0.500, 0.000)
N (0.500, 0.000, 0.000)

# SmHg2Pb

SmHg2Pb after structural relaxation (PBE-GGA, Alexandria via LeMat-Bulk).

Results
- ΔE_f (eV per atom) = -0.21
- SG = No. 160
- DOS(E_F) (states/eV/cell) = 2.82

a b c (Å): 6.621 6.621 6.621
angles (deg): 42.63 42.63 42.63
Sites, in units of the cell vectors:
Sm (0.000, 0.000, 0.000)
Hg (0.421, 0.421, 0.421)
Hg (0.594, 0.594, 0.594)
Pb (0.187, 0.187, 0.187)

# VIn2Cl4

VIn2Cl4 after structural relaxation (PBE-GGA, Alexandria via LeMat-Bulk).

Results
- SG = No. 139
- DOS(E_F) (states/eV/cell) = 1.11
- energy relative to the elements, uncorrected (meV per atom) = -911

a b c (Å): 8.691 8.691 8.691
angles (deg): 146.91 146.91 47.50
Sites, in units of the cell vectors:
V (0.000, 0.000, 0.000)
In (0.356, 0.356, 0.000)
In (0.644, 0.644, 0.000)
Cl (0.000, 0.500, 0.500)
Cl (0.156, 0.156, 0.000)
Cl (0.500, 0.000, 0.500)
Cl (0.844, 0.844, 0.000)

# Y2ZnSi4Rh3

Y2ZnSi4Rh3 after structural relaxation (PBE-GGA, Alexandria via LeMat-Bulk).

Results
- SG = No. 115
- DOS(E_F) (states/eV/cell) = 6.13
- energy relative to the elements, uncorrected (meV per atom) = -891

a b c (Å): 4.102 4.102 10.042
angles (deg): 90.00 90.00 90.00
Sites, in units of the cell vectors:
Y (0.000, 0.500, 0.244)
Y (0.500, 0.000, 0.756)
Zn (0.000, 0.000, 0.500)
Si (0.000, 0.000, 0.000)
Si (0.000, 0.500, 0.640)
Si (0.500, 0.000, 0.360)
Si (0.500, 0.500, 0.000)
Rh (0.000, 0.500, 0.876)
Rh (0.500, 0.000, 0.124)
Rh (0.500, 0.500, 0.500)

# LiLuAgPt

LiLuAgPt after structural relaxation (PBE-GGA, Alexandria via LeMat-Bulk).

Results
- ΔE_f (eV per atom) = -0.65
- SG = No. 216
- DOS(E_F) (states/eV/cell) = 1.10

a b c (Å): 4.706 4.706 4.706
angles (deg): 60.00 60.00 60.00
Sites, in units of the cell vectors:
Li (0.000, 0.000, 0.000)
Lu (0.500, 0.500, 0.500)
Ag (0.250, 0.250, 0.250)
Pt (0.750, 0.750, 0.750)

# KAgAu2

KAgAu2 after structural relaxation (PBE-GGA, Alexandria via LeMat-Bulk).

Results
- ΔE_f (eV per atom) = 0.12
- SG = No. 216
- DOS(E_F) (states/eV/cell) = 2.45

a b c (Å): 5.019 5.019 5.019
angles (deg): 60.00 60.00 60.00
Sites, in units of the cell vectors:
K (0.000, 0.000, 0.000)
Ag (0.750, 0.750, 0.750)
Au (0.250, 0.250, 0.250)
Au (0.500, 0.500, 0.500)

no.,VASP energy (eV per atom)
1,-6.358
2,-3.506
3,-2.108
4,-6.260
5,-5.263
6,-8.104
7,-3.226
8,-4.048
9,-3.015
10,-5.607
11,-7.190
12,-4.775
13,-4.495
14,-4.369
15,-3.200
16,-2.469
17,-4.052
18,-6.686
19,-4.480
20,-2.508